## ScCo3Hg (PBEsol)

Data for a relaxed ScCo3Hg crystal.

DOS at the Fermi energy = 14.3 states/eV per cell
Calculated volume = 20.0 A^3/atom
Spin magnetization = 0.815 μB/atom
ΔH_f (0 K) = 6.864 eV/f.u.

Lattice parameters (Å, degrees): 4.6406 4.6406 4.6406 90.00 90.00 90.00
Closest atoms and distances in Å follow each position.
Space group Pm-3m (No. 221)
Symmetry-distinct sites (fractional):
Sc 0.0000 0.0000 0.0000 [1 per cell]  12 Co 3.28
Co 0.0000 0.5000 0.5000 [3 per cell]  2 Hg 2.32
Hg 0.5000 0.5000 0.5000 [1 per cell]  6 Co 2.32